A plane-wave DFT calculation with PBE was carried out for SmY7 after structural relaxation.

## Properties
Its offset from the most stable computed form is 0.00 eV/f.u. The value obtained for the mass density is 4.96 g/cm³. For the uncorrected energy, the calculation gives -6.22 eV/atom. As for the symmetry: No. 225. The magnetic moment comes out at 0.000 μB per atom. The value obtained for the formation enthalpy at 0 K is 0.0227 eV/atom.

Cell lengths 7.150, 7.150, 7.150 Å; angles 60.00, 60.00, 60.00 degrees
Element x y z (fractional)
Sm  0.000  0.000  0.000
Y  0.500  0.500  0.000
Y  0.500  0.000  0.500
Y  0.000  0.500  0.500
Y  0.500  0.000  0.000
Y  0.000  0.500  0.000
Y  0.000  0.000  0.500
Y  0.500  0.500  0.500